RbInGa2Cl8 PBE relaxed; total DFT energy (no corrections) = -3.3255 eV/atom; space group = P-3, No. 147; calculated volume = 35.1 Å³ per atom
1.0
-6.0220 -0.8810 2.9395
0.8546 -1.6217 -6.5055
2.8292 -9.8806 2.8348
Cl Ga Rb In
8 2 1 1
Cartesian
-4.4735 -4.7162 -0.5797
0.9378 -8.9241 -3.3376
2.1353 -7.6671 -0.1515
-1.0281 -3.6313 -0.2367
-3.6944 -1.2514 -0.1734
-3.2759 -3.4592 2.6064
1.3562 -11.1319 -0.5578
-1.3101 -8.7520 -0.4945
-3.1116 -3.2870 0.4106
0.7734 -9.0963 -1.1418
0.0000 0.0000 0.0000
1.4146 -4.9403 1.4174


ScBrF2 PBE relaxed; total DFT energy (no corrections) = -5.0162 eV/atom; space group = Fm-3m, No. 225; calculated volume = 14.2 Å³ per atom
1.0
-1.6155 -1.2218 3.8114
-3.7471 1.6379 1.3808
-3.5197 -2.4937 0.1527
Br Sc F
1 1 2
Cartesian
-4.4412 -1.0388 2.6724
0.0000 0.0000 0.0000
-2.2206 -0.5194 1.3362
-6.6617 -1.5582 4.0087


What did we get for formation energy without anion corrections? Answer: -1.2811; -2.0794 eV/atom, in the order shown.